A plane-wave DFT calculation with PBE with a Hubbard U was carried out for an optimized crystal structure of LiTbVF6.

It has space group P4_2nm (No. 102), with a = 4.997 Å, b = 4.997 Å, c = 9.929 Å, α = 90.00°, β = 90.00° and γ = 90.00°. The distinct sites, in fractional coordinates, are Li at (0.000, 0.000, 0.000), Tb at (0.000, 0.000, 0.335), V at (0.000, 0.000, 0.669), F at (0.188, 0.188, 0.836), F at (0.200, 0.200, 0.165) and F at (0.201, 0.201, 0.507).

As for the calculated total energy: -6.15 eV per atom.